The following is a PBE-GGA calculation of a geometry-optimized BaYTa structure, from the Alexandria database.

energy above the most stable polymorph in this dataset	1137	meV per atom
DOS(E_F)	2.34	states/eV per cell
ΔE_f	1793.7	meV/atom
total magnetization	0.717	μB per atom
V	98	Å³/cell

Cell lengths 5.1718, 5.1718, 5.1718 Å; angles 60.00, 60.00, 60.00 degrees
Last column: nearest neighbours and their distance in Å.
Atoms (fractional coordinates):
Ba: 0.7500 0.7500 0.7500  4 Ta 3.17, 4 Y 3.17
Ta: 0.0000 0.0000 0.0000  4 Ba 3.17
Y: 0.5000 0.5000 0.5000  4 Ba 3.17

The following is a PBE-GGA calculation of a geometry-optimized Ba2YTa structure, from the Alexandria database.

energy above the most stable polymorph in this dataset	507	meV per atom
DOS(E_F)	9.94	states/eV per cell
ΔE_f	1127.8	meV/atom
total magnetization	0.000	μB per atom
V	378	Å³/cell

Cell lengths 11.6812, 11.6812, 8.7128 Å; angles 47.91, 47.91, 90.00 degrees
Last column: nearest neighbours and their distance in Å.
Atoms (fractional coordinates):
Y: 0.5000 0.5000 0.0000  2 Ta 2.77
Y: 0.2500 0.7500 0.5000  2 Ta 2.77
Ba: 0.7699 0.1250 0.2500  2 Ta 3.24
Ba: 0.9801 0.6250 0.2500  2 Ta 3.24
Ba: 0.3750 0.2301 0.7500  2 Ta 3.24
Ba: 0.8750 0.0199 0.7500  2 Ta 3.24
Ta: 0.0000 0.0000 0.0000  2 Y 2.77
Ta: 0.7500 0.2500 0.5000  2 Y 2.77

The following is a PBE-GGA calculation of a geometry-optimized Ba2YTa structure, from the Alexandria database.

energy above the most stable polymorph in this dataset	351	meV per atom
DOS(E_F)	6.69	states/eV per cell
ΔE_f	971.7	meV/atom
total magnetization	0.309	μB per atom
V	138	Å³/cell

Cell lengths 4.9817, 4.9817, 5.5734 Å; angles 90.00, 90.00, 90.00 degrees
Last column: nearest neighbours and their distance in Å.
Atoms (fractional coordinates):
Ba: 0.0000 0.0000 0.0000  4 Ba 3.52, 4 Ta 3.74, 4 Y 3.74
Ba: 0.5000 0.5000 0.0000  4 Ba 3.52, 4 Ta 3.74, 4 Y 3.74
Ta: 0.5000 0.0000 0.5000  4 Y 3.52, 8 Ba 3.74
Y: 0.0000 0.5000 0.5000  4 Ta 3.52, 8 Ba 3.74

The following is a PBE-GGA calculation of a geometry-optimized Ba2YTa structure, from the Alexandria database.

energy above the most stable polymorph in this dataset	428	meV per atom
DOS(E_F)	6.60	states/eV per cell
ΔE_f	1048.4	meV/atom
total magnetization	0.447	μB per atom
V	140	Å³/cell

Cell lengths 5.8273, 5.8273, 5.8273 Å; angles 60.00, 60.00, 60.00 degrees
Last column: nearest neighbours and their distance in Å.
Atoms (fractional coordinates):
Y: 0.0000 0.0000 0.0000  8 Ba 3.57
Ba: 0.2500 0.2500 0.2500  4 Ta 3.57, 4 Y 3.57
Ba: 0.7500 0.7500 0.7500  4 Ta 3.57, 4 Y 3.57
Ta: 0.5000 0.5000 0.5000  8 Ba 3.57

The following is a PBE-GGA calculation of a geometry-optimized Ba2YTa structure, from the Alexandria database.

energy above the most stable polymorph in this dataset	134	meV per atom
DOS(E_F)	6.25	states/eV per cell
ΔE_f	754.4	meV/atom
total magnetization	0.000	μB per atom
V	150	Å³/cell

Cell lengths 5.4548, 5.4548, 8.4011 Å; angles 85.85, 85.85, 37.05 degrees
Last column: nearest neighbours and their distance in Å.
Atoms (fractional coordinates):
Ba: 0.0034 0.0034 0.9498  2 Ba 3.47, 3 Y 3.49-3.80, 2 Ta 3.64
Ba: 0.2361 0.2361 0.3001  2 Ba 3.47, 3 Ta 3.66, 2 Y 3.66
Ta: 0.4972 0.4972 0.5701  3 Y 2.97-3.06
Y: 0.7632 0.7632 0.6800  3 Ta 2.97-3.06

The following is a PBE-GGA calculation of a geometry-optimized Ba2YTa structure, from the Alexandria database.

energy above the most stable polymorph in this dataset	386	meV per atom
DOS(E_F)	4.90	states/eV per cell
ΔE_f	1005.9	meV/atom
total magnetization	0.681	μB per atom
V	140	Å³/cell

Cell lengths 6.9922, 6.9922, 3.4614 Å; angles 82.16, 82.16, 120.59 degrees
Last column: nearest neighbours and their distance in Å.
Atoms (fractional coordinates):
Ba: 0.0000 0.0000 0.0000  4 Ba 3.46, 2 Ta 3.68, 2 Y 3.68
Ba: 0.5000 0.5000 0.0000  4 Ba 3.46, 2 Y 3.68, 2 Ta 3.68
Ta: 0.5000 0.0000 0.5000  2 Ta 3.46, 2 Y 3.46, 4 Ba 3.68
Y: 0.0000 0.5000 0.5000  2 Y 3.46, 2 Ta 3.46, 4 Ba 3.68

The following is a PBE-GGA calculation of a geometry-optimized BaYTa4 structure, from the Alexandria database.

DOS(E_F)	12.05	states/eV per cell
ΔE_f	643.4	meV/atom
total magnetization	0.000	μB per atom
V	140	Å³/cell

Cell lengths 5.8330, 5.8330, 5.8330 Å; angles 60.00, 60.00, 60.00 degrees
Last column: nearest neighbours and their distance in Å.
Atoms (fractional coordinates):
Ba: 0.0000 0.0000 0.0000  12 Ta 3.43, 4 Y 3.57
Y: 0.7500 0.7500 0.7500  12 Ta 3.41, 4 Ba 3.57
Ta: 0.8665 0.3778 0.3778  6 Ta 2.85-2.98
Ta: 0.3778 0.3778 0.8665  6 Ta 2.85-2.98
Ta: 0.3778 0.8665 0.3778  6 Ta 2.85-2.98
Ta: 0.3778 0.3778 0.3778  6 Ta 2.85-2.98

The following is a PBE-GGA calculation of a geometry-optimized BaYTa structure, from the Alexandria database.

energy above the most stable polymorph in this dataset	647	meV per atom
DOS(E_F)	4.64	states/eV per cell
ΔE_f	1304.1	meV/atom
total magnetization	0.956	μB per atom
V	108	Å³/cell

Cell lengths 5.3426, 5.3426, 5.3426 Å; angles 60.00, 60.00, 60.00 degrees
Last column: nearest neighbours and their distance in Å.
Atoms (fractional coordinates):
Ba: 0.5000 0.5000 0.5000  4 Ta 3.27
Ta: 0.7500 0.7500 0.7500  4 Ba 3.27, 4 Y 3.27
Y: 0.0000 0.0000 0.0000  4 Ta 3.27

The following is a PBE-GGA calculation of a geometry-optimized Ba2YTa structure, from the Alexandria database.

energy above the most stable polymorph in this dataset	285	meV per atom
DOS(E_F)	3.42	states/eV per cell
ΔE_f	905.1	meV/atom
total magnetization	0.699	μB per atom
V	141	Å³/cell

Cell lengths 5.8394, 5.8394, 5.8394 Å; angles 120.06, 120.06, 89.89 degrees
Last column: nearest neighbours and their distance in Å.
Atoms (fractional coordinates):
Ba: 0.0000 0.0000 0.0000  4 Y 3.57, 4 Ba 3.57
Ba: 0.2500 0.7500 0.5000  4 Ta 3.57, 4 Ba 3.57
Ta: 0.5000 0.5000 0.0000  4 Ba 3.57, 4 Y 3.57
Y: 0.7500 0.2500 0.5000  4 Ba 3.57, 4 Ta 3.57

The following is a PBE-GGA calculation of a geometry-optimized Ba2YTa2 structure, from the Alexandria database.

energy above the most stable polymorph in this dataset	327	meV per atom
DOS(E_F)	17.68	states/eV per cell
ΔE_f	1156.2	meV/atom
total magnetization	0.000	μB per atom
V	315	Å³/cell

Cell lengths 9.8966, 9.8966, 3.2172 Å; angles 90.00, 90.00, 90.00 degrees
Last column: nearest neighbours and their distance in Å.
Atoms (fractional coordinates):
Y: 0.0000 0.0000 0.0000  2 Y 3.22, 4 Ba 3.56
Y: 0.5000 0.5000 0.0000  2 Y 3.22, 4 Ba 3.56
Ba: 0.2987 0.7987 0.0000  2 Ba 3.22, 6 Ta 3.31-3.49, 2 Y 3.56
Ba: 0.7987 0.7013 0.0000  2 Ba 3.22, 6 Ta 3.31-3.49, 2 Y 3.56
Ba: 0.7013 0.2013 0.0000  2 Ba 3.22, 6 Ta 3.31-3.49, 2 Y 3.56
Ba: 0.2013 0.2987 0.0000  2 Ba 3.22, 6 Ta 3.31-3.49, 2 Y 3.56
Ta: 0.0916 0.5916 0.5000  1 Ta 2.57
Ta: 0.5916 0.9084 0.5000  1 Ta 2.57
Ta: 0.9084 0.4084 0.5000  1 Ta 2.57
Ta: 0.4084 0.0916 0.5000  1 Ta 2.57

The following is a PBE-GGA calculation of a geometry-optimized Ba2YTa structure, from the Alexandria database.

energy above the most stable polymorph in this dataset	126	meV per atom
DOS(E_F)	7.18	states/eV per cell
ΔE_f	746.4	meV/atom
total magnetization	0.000	μB per atom
V	168	Å³/cell

Cell lengths 10.0001, 10.0001, 4.9719 Å; angles 75.59, 75.59, 20.46 degrees
Last column: nearest neighbours and their distance in Å.
Atoms (fractional coordinates):
Ba: 0.9079 0.9079 0.0919  2 Ta 3.49, 2 Ba 3.55, 2 Y 3.90
Ba: 0.5921 0.5921 0.4081  2 Ta 3.49, 2 Ba 3.55, 2 Y 3.90
Ta: 0.2500 0.2500 0.2500  4 Y 3.06
Y: 0.7500 0.7500 0.7500  4 Ta 3.06

The following is a PBE-GGA calculation of a geometry-optimized Ba3YTa structure, from the Alexandria database.

energy above the most stable polymorph in this dataset	0	meV per atom
DOS(E_F)	9.23	states/eV per cell
ΔE_f	1068.0	meV/atom
total magnetization	0.000	μB per atom
V	236	Å³/cell

Cell lengths 6.1756, 6.1756, 6.1756 Å; angles 90.00, 90.00, 90.00 degrees
Last column: nearest neighbours and their distance in Å.
Atoms (fractional coordinates):
Y: 0.5000 0.5000 0.5000  12 Ba 4.37
Ba: 0.0000 0.5000 0.0000  2 Ta 3.09
Ba: 0.0000 0.0000 0.5000  2 Ta 3.09
Ba: 0.5000 0.0000 0.0000  2 Ta 3.09
Ta: 0.0000 0.0000 0.0000  6 Ba 3.09

The following is a PBE-GGA calculation of a geometry-optimized Ba3YTa structure, from the Alexandria database.

energy above the most stable polymorph in this dataset	734	meV per atom
DOS(E_F)	18.00	states/eV per cell
ΔE_f	1802.0	meV/atom
total magnetization	0.003	μB per atom
V	239	Å³/cell

Cell lengths 6.2059, 6.2059, 6.2059 Å; angles 90.00, 90.00, 90.00 degrees
Last column: nearest neighbours and their distance in Å.
Atoms (fractional coordinates):
Y: 0.0000 0.0000 0.0000  6 Ba 3.10
Ba: 0.0000 0.5000 0.0000  2 Y 3.10
Ba: 0.0000 0.0000 0.5000  2 Y 3.10
Ba: 0.5000 0.0000 0.0000  2 Y 3.10
Ta: 0.5000 0.5000 0.5000  12 Ba 4.39

The following is a PBE-GGA calculation of a geometry-optimized Ba2YTa2 structure, from the Alexandria database.

energy above the most stable polymorph in this dataset	0	meV per atom
DOS(E_F)	6.60	states/eV per cell
ΔE_f	829.5	meV/atom
total magnetization	0.338	μB per atom
V	180	Å³/cell

Cell lengths 3.7700, 3.7700, 12.9604 Å; angles 81.64, 81.64, 90.00 degrees
Last column: nearest neighbours and their distance in Å.
Atoms (fractional coordinates):
Y: 0.0000 0.0000 0.0000  4 Y 3.77, 8 Ba 4.12
Ba: 0.3763 0.3763 0.2474  4 Ta 3.72, 4 Ba 3.77, 4 Y 4.12
Ba: 0.6237 0.6237 0.7526  4 Ta 3.72, 4 Ba 3.77, 4 Y 4.12
Ta: 0.7500 0.2500 0.5000  4 Ta 2.67
Ta: 0.2500 0.7500 0.5000  4 Ta 2.67

The following is a PBE-GGA calculation of a geometry-optimized Ba2YTa structure, from the Alexandria database.

energy above the most stable polymorph in this dataset	305	meV per atom
DOS(E_F)	6.49	states/eV per cell
ΔE_f	925.1	meV/atom
total magnetization	0.002	μB per atom
V	138	Å³/cell

Cell lengths 3.4512, 3.4512, 11.5707 Å; angles 90.00, 90.00, 90.00 degrees
Last column: nearest neighbours and their distance in Å.
Atoms (fractional coordinates):
Ba: 0.0000 0.0000 0.0303  4 Ba 3.45, 4 Ta 3.52
Ba: 0.0000 0.0000 0.4697  4 Ba 3.45, 4 Ta 3.52
Ta: 0.5000 0.5000 0.2500  4 Ta 3.45, 8 Ba 3.52
Y: 0.5000 0.5000 0.7500  4 Y 3.45